No. 1
LaCdAg2: PBEsol geometry, SCAN.

Properties
The formation energy is -0.184 eV per atom. Its total energy is -34.2474 eV/atom. For the volume, the calculation gives 87 Å³/f.u.

```
data_LaCdAg2
_chemical_formula_sum 'La1 Cd1 Ag2'
_cell_length_a 3.393
_cell_length_b 3.393
_cell_length_c 7.517
_cell_angle_alpha 90.00
_cell_angle_beta 90.00
_cell_angle_gamma 90.00
_space_group_name_H-M_alt 'P 4/m m m'
_space_group_IT_number 123
_space_group_name_Hall '-P 4 2'
loop_
_atom_site_label
_atom_site_fract_x
_atom_site_fract_y
_atom_site_fract_z
_atom_site_occupancy
La1 0.000 0.000 0.000 1
Cd1 0.000 0.000 0.500 1
Ag1 0.500 0.500 0.291 1
```

No. 2
Li3V2Si2O10: PBEsol geometry, SCAN.

Properties
The excess energy over the best structure of this formula in the dataset comes out at 0.0000 eV/atom. Its total energy is -10.0289 eV/atom. For the volume, the calculation gives 177 Å³/f.u. The calculation puts the formation energy from raw total energies at -2706 meV per atom.

```
data_Li3V2Si2O10
_chemical_formula_sum 'Li12 V8 Si8 O40'
_cell_length_a 8.909
_cell_length_b 8.892
_cell_length_c 8.949
_cell_angle_alpha 90.00
_cell_angle_beta 90.00
_cell_angle_gamma 90.00
_space_group_name_H-M_alt 'C m c e'
_space_group_IT_number 64
_space_group_name_Hall '-C 2ac 2'
loop_
_atom_site_label
_atom_site_fract_x
_atom_site_fract_y
_atom_site_fract_z
_atom_site_occupancy
Li1 0.000 0.000 0.000 1
Li2 0.250 0.250 0.000 1
V1 0.000 0.241 0.299 1
Si1 0.250 0.001 0.750 1
O1 0.000 0.231 0.117 1
O2 0.144 0.105 0.858 1
O3 0.150 0.107 0.359 1
```

No. 3
LaTa2Rh2: PBEsol geometry, SCAN.

Properties
The formation energy is -0.228 eV per atom. Its total energy is -48.9913 eV/atom. For the volume, the calculation gives 104 Å³/f.u.

```
data_LaTa2Rh2
_chemical_formula_sum 'La2 Ta4 Rh4'
_cell_length_a 4.517
_cell_length_b 4.517
_cell_length_c 10.179
_cell_angle_alpha 90.00
_cell_angle_beta 90.00
_cell_angle_gamma 90.00
_space_group_name_H-M_alt 'I 4/m m m'
_space_group_IT_number 139
_space_group_name_Hall '-I 4 2'
loop_
_atom_site_label
_atom_site_fract_x
_atom_site_fract_y
_atom_site_fract_z
_atom_site_occupancy
La1 0.000 0.000 0.000 1
Ta1 0.000 0.000 0.364 1
Rh1 0.000 0.500 0.250 1
```

No. 4
Sc3ZnC: PBEsol geometry, SCAN.

Properties
The formation energy is -0.528 eV per atom. The excess energy over the best structure of this formula in the dataset comes out at 0.0204 eV/atom. Its total energy is -13.7928 eV/atom. For the volume, the calculation gives 89 Å³/f.u.

```
data_Sc3ZnC
_chemical_formula_sum 'Sc3 Zn1 C1'
_cell_length_a 4.460
_cell_length_b 4.460
_cell_length_c 4.460
_cell_angle_alpha 90.00
_cell_angle_beta 90.00
_cell_angle_gamma 90.00
_space_group_name_H-M_alt 'P m -3 m'
_space_group_IT_number 221
_space_group_name_Hall '-P 4 2 3'
loop_
_atom_site_label
_atom_site_fract_x
_atom_site_fract_y
_atom_site_fract_z
_atom_site_occupancy
Sc1 0.000 0.000 0.500 1
Zn1 0.500 0.500 0.500 1
C1 0.000 0.000 0.000 1
```

No. 5
CaCu3Ag: PBEsol geometry, SCAN.

Properties
The formation energy is 1.481 eV per atom. Its total energy is -15.8445 eV/atom. For the volume, the calculation gives 109 Å³/f.u.

```
data_CaCu3Ag
_chemical_formula_sum 'Ca1 Cu3 Ag1'
_cell_length_a 4.771
_cell_length_b 4.771
_cell_length_c 4.771
_cell_angle_alpha 90.00
_cell_angle_beta 90.00
_cell_angle_gamma 90.00
_space_group_name_H-M_alt 'P m -3 m'
_space_group_IT_number 221
_space_group_name_Hall '-P 4 2 3'
loop_
_atom_site_label
_atom_site_fract_x
_atom_site_fract_y
_atom_site_fract_z
_atom_site_occupancy
Ca1 0.000 0.000 0.000 1
Cu1 0.000 0.000 0.500 1
Ag1 0.500 0.500 0.500 1
```

No. 6
CsHgNO2: PBEsol geometry, SCAN.

Properties
Its total energy is -25.0554 eV/atom. For the volume, the calculation gives 85 Å³/f.u. The calculation puts the formation energy from raw total energies at 491 meV per atom.

```
data_CsHgNO2
_chemical_formula_sum 'Cs1 Hg1 N1 O2'
_cell_length_a 4.376
_cell_length_b 4.376
_cell_length_c 4.423
_cell_angle_alpha 90.00
_cell_angle_beta 90.00
_cell_angle_gamma 90.00
_space_group_name_H-M_alt 'P 4/m m m'
_space_group_IT_number 123
_space_group_name_Hall '-P 4 2'
loop_
_atom_site_label
_atom_site_fract_x
_atom_site_fract_y
_atom_site_fract_z
_atom_site_occupancy
Cs1 0.000 0.000 0.000 1
Hg1 0.500 0.500 0.500 1
N1 0.500 0.500 0.000 1
O1 0.000 0.500 0.500 1
```

No. 7
TaTiNbCo2: PBEsol geometry, SCAN.

Properties
The formation energy is 1.064 eV per atom. Its total energy is -29.0062 eV/atom. For the volume, the calculation gives 79 Å³/f.u.

```
data_TaTiNbCo2
_chemical_formula_sum 'Ta1 Ti1 Nb1 Co2'
_cell_length_a 4.129
_cell_length_b 4.129
_cell_length_c 4.614
_cell_angle_alpha 90.00
_cell_angle_beta 90.00
_cell_angle_gamma 90.00
_space_group_name_H-M_alt 'P 4/m m m'
_space_group_IT_number 123
_space_group_name_Hall '-P 4 2'
loop_
_atom_site_label
_atom_site_fract_x
_atom_site_fract_y
_atom_site_fract_z
_atom_site_occupancy
Ta1 0.000 0.000 0.000 1
Ti1 0.500 0.500 0.500 1
Nb1 0.500 0.500 0.000 1
Co1 0.000 0.500 0.500 1
```

No. 8
LaSbI2O: PBEsol geometry, SCAN.

Properties
Its total energy is -33.0968 eV/atom. For the volume, the calculation gives 170 Å³/f.u. The calculation puts the formation energy from raw total energies at -1081 meV per atom.

```
data_LaSbI2O
_chemical_formula_sum 'La1 Sb1 I2 O1'
_cell_length_a 6.360
_cell_length_b 6.360
_cell_length_c 4.209
_cell_angle_alpha 90.00
_cell_angle_beta 90.00
_cell_angle_gamma 90.00
_space_group_name_H-M_alt 'P 4/m m m'
_space_group_IT_number 123
_space_group_name_Hall '-P 4 2'
loop_
_atom_site_label
_atom_site_fract_x
_atom_site_fract_y
_atom_site_fract_z
_atom_site_occupancy
La1 0.000 0.000 0.000 1
Sb1 0.500 0.500 0.500 1
I1 0.000 0.500 0.000 1
O1 0.000 0.000 0.500 1
```

In states/eV/f.u., the N(E_F) values for the records above are, in order, 2.2; 6.0; 3.9; 6.1; 2.6; 3.9; 3.4; 4.0.
In μB per formula unit, the spin magnetization values for the records above are, in order, 0.00; 1.00; 0.00; 0.73; 0.00; 2.68; 1.11; 0.12.